Entry 1:
{"formula": "PdRh8W2", "functional": "PBE", "state": "relaxed", "volume_a3_per_atom": 15.22, "final_energy_ev_per_atom": -8.173, "delta_e_f_ev_per_atom": 0.0008, "sg": "Immm (71)", "lattice": [[-2.031, 3.497, 5.895], [2.031, -3.497, 5.895], [2.031, 3.497, -5.895]], "species": ["Pd", "Rh", "Rh", "Rh", "Rh", "Rh", "Rh", "Rh", "Rh", "W", "W"], "frac_coords": [[0.000, 0.000, 0.000], [0.128, 0.847, 0.281], [0.158, 0.658, 0.500], [0.306, 0.500, 0.806], [0.435, 0.153, 0.281], [0.565, 0.847, 0.719], [0.694, 0.500, 0.194], [0.842, 0.342, 0.500], [0.872, 0.153, 0.719], [0.303, 0.303, 0.000], [0.697, 0.697, 0.000]]}

---

Entry 2:
{"formula": "PdRhW2", "functional": "PBE", "state": "relaxed", "volume_a3_per_atom": 15.51, "final_energy_ev_per_atom": -9.425, "de_polymorph_mev_per_atom": 0, "delta_e_f_ev_per_atom": 0.1874, "sg": "F-43m (216)", "lattice": [[0.000, 3.142, 3.142], [3.142, 0.000, 3.142], [3.142, 3.142, 0.000]], "species": ["Pd", "Rh", "W", "W"], "frac_coords": [[0.000, 0.000, 0.000], [0.250, 0.250, 0.250], [0.500, 0.500, 0.500], [0.750, 0.750, 0.750]]}

---

Entry 3:
{"formula": "PdRhW", "functional": "PBE", "state": "relaxed", "volume_a3_per_atom": 15.27, "final_energy_ev_per_atom": -8.455, "de_polymorph_mev_per_atom": 211, "delta_e_f_ev_per_atom": 0.0439, "sg": "P3m1 (156)", "lattice": [[4.423, 0.000, 0.000], [-2.211, 3.830, 0.000], [0.000, 0.000, 2.705]], "species": ["Pd", "Rh", "W"], "frac_coords": [[0.000, 0.000, 0.000], [0.333, 0.667, 0.500], [0.667, 0.333, 0.998]]}

---

Entry 4:
{"formula": "PdRhW3", "functional": "PBE", "state": "relaxed", "volume_a3_per_atom": 20.36, "final_energy_ev_per_atom": -8.324, "de_polymorph_mev_per_atom": 0, "delta_e_f_ev_per_atom": 1.9572, "sg": "Pm-3m (221)", "lattice": [[4.669, 0.000, 0.000], [0.000, 4.669, 0.000], [0.000, 0.000, 4.669]], "species": ["Pd", "Rh", "W", "W", "W"], "frac_coords": [[0.000, 0.000, 0.000], [0.500, 0.500, 0.500], [0.000, 0.500, 0.500], [0.500, 0.000, 0.500], [0.500, 0.500, 0.000]]}

---

Entry 5:
{"formula": "PdRhW", "functional": "PBE", "state": "relaxed", "volume_a3_per_atom": 14.94, "final_energy_ev_per_atom": -8.666, "de_polymorph_mev_per_atom": 0, "delta_e_f_ev_per_atom": -0.1666, "sg": "Cmcm (63)", "lattice": [[1.390, -7.229, 0.000], [1.390, 7.229, 0.000], [0.000, 0.000, 4.458]], "species": ["Pd", "Pd", "Rh", "Rh", "W", "W"], "frac_coords": [[0.223, 0.777, 0.750], [0.777, 0.223, 0.250], [0.446, 0.554, 0.250], [0.554, 0.446, 0.750], [0.108, 0.892, 0.250], [0.892, 0.108, 0.750]]}

---

Entry 6:
{"formula": "Pd2Rh8W", "functional": "PBE", "state": "relaxed", "volume_a3_per_atom": 15.45, "final_energy_ev_per_atom": -7.210, "delta_e_f_ev_per_atom": 0.2582, "sg": "C2/m (12)", "lattice": [[3.464, -6.183, 0.000], [3.464, 6.183, 0.000], [-2.128, 0.000, 3.969]], "species": ["Pd", "Pd", "Rh", "Rh", "Rh", "Rh", "Rh", "Rh", "Rh", "Rh", "W"], "frac_coords": [[0.192, 0.808, 0.000], [0.808, 0.192, 0.000], [0.088, 0.088, 0.305], [0.186, 0.405, 0.854], [0.297, 0.703, 0.500], [0.405, 0.186, 0.854], [0.595, 0.814, 0.146], [0.703, 0.297, 0.500], [0.814, 0.595, 0.146], [0.912, 0.912, 0.695], [0.500, 0.500, 0.500]]}